(1)
Material: CrSnBi2Rh
Method: DFT, PBE
State: relaxed

a = 5.0882 Å, b = 5.0882 Å, c = 4.9918 Å
α = 90.00°, β = 90.00°, γ = 90.00°
With the nearest neighbours (Å) after each atom.
Space group P4/mmm (No. 123)
One atom of each set of equivalent atoms:
Cr: 0.0000 0.0000 0.0000 [1 per cell]  2 Sn 2.50, 4 Bi 2.54
Sn: 0.0000 0.0000 0.5000 [1 per cell]  2 Cr 2.50
Bi: 0.0000 0.5000 0.0000 [2 per cell]  2 Cr 2.54
Rh: 0.5000 0.5000 0.5000 [1 per cell]  8 Bi 3.56, 4 Sn 3.60

Output
calculated density	8.89	Mg/m³
formation enthalpy at 0 K	0.786	eV per atom

=====

(2)
Material: TaZn2Se
Method: DFT, PBE
State: relaxed

a = 3.2071 Å, b = 3.2071 Å, c = 24.6341 Å
α = 90.00°, β = 90.00°, γ = 120.00°
With the nearest neighbours (Å) after each atom.
Space group R3m (No. 160, hexagonal axes)
One atom of each set of equivalent atoms:
Ta: 0.0000 0.0000 0.0000 [3 per cell]  3 Se 2.57, 3 Zn 2.85
Zn: 0.0000 0.0000 0.2454 [3 per cell]  3 Zn 2.65, 3 Ta 2.85
Zn: 0.0000 0.0000 0.5016 [3 per cell]  3 Zn 2.65
Se: 0.0000 0.0000 0.7390 [3 per cell]  3 Ta 2.57

Output
E_form (uncorrected)	-0.087	eV/atom
calculated density	8.87	Mg/m³

=====

(3)
Material: NaLiGaBi
Method: DFT, PBE
State: relaxed

a = 7.2166 Å, b = 7.2166 Å, c = 7.2166 Å
α = 90.00°, β = 90.00°, γ = 90.00°
With the nearest neighbours (Å) after each atom.
Space group F-43m (No. 216)
One atom of each set of equivalent atoms:
Na: 0.0000 0.0000 0.0000 [4 per cell]  4 Bi 3.12, 4 Ga 3.12
Li: 0.0000 0.0000 0.5000 [4 per cell]  4 Ga 3.12, 4 Bi 3.12
Ga: 0.2500 0.2500 0.2500 [4 per cell]  4 Na 3.12, 4 Li 3.12
Bi: 0.2500 0.2500 0.7500 [4 per cell]  4 Na 3.12, 4 Li 3.12

Output
calculated density	5.45	Mg/m³
formation enthalpy at 0 K	-0.235	eV per atom

=====

(4)
Material: NaTlSn
Method: DFT, PBE
State: relaxed

a = 14.2769 Å, b = 3.4288 Å, c = 7.1666 Å
α = 90.00°, β = 103.41°, γ = 90.00°
With the nearest neighbours (Å) after each atom.
Space group C2/m (No. 12)
One atom of each set of equivalent atoms:
Na: 0.0000 0.0000 0.0000 [2 per cell]  4 Tl 3.39, 4 Na 3.43-3.58, 4 Sn 3.46
Na: 0.0000 0.0000 0.5000 [2 per cell]  4 Tl 3.36, 4 Na 3.43-3.58, 4 Sn 3.53
Tl: 0.1648 0.5000 0.3306 [4 per cell]  4 Sn 3.29-3.62, 4 Na 3.36-3.39, 4 Tl 3.43-3.47
Sn: 0.1773 0.5000 0.8402 [4 per cell]  4 Sn 3.21-3.43, 3 Tl 3.29-3.56, 4 Na 3.46-3.53

Output
calculated density	6.74	Mg/m³
formation enthalpy at 0 K	-0.101	eV per atom

=====

(5)
Material: CsLiSc2I8
Method: DFT, PBE
State: relaxed

a = 7.6489 Å, b = 7.6489 Å, c = 32.8064 Å
α = 90.00°, β = 90.00°, γ = 120.00°
With the nearest neighbours (Å) after each atom.
Space group R-3 (No. 148, hexagonal axes)
One atom of each set of equivalent atoms:
Cs: 0.0000 0.0000 0.0000 [3 per cell]  12 I 4.42-4.45
Li: 0.0000 0.0000 0.5000 [3 per cell]  6 I 3.08
Sc: 0.0000 0.0000 0.2454 [6 per cell]  4 I 2.71-2.73
I: 0.0000 0.0000 0.3281 [6 per cell]  1 Sc 2.71
I: 0.0051 0.3456 0.2221 [18 per cell]  1 Sc 2.73

Output
E_form (uncorrected)	-1.217	eV/atom
calculated density	3.73	Mg/m³

=====

(6)
Material: LaMg2Tl2Ag2
Method: DFT, PBE
State: relaxed

a = 4.7837 Å, b = 4.7837 Å, c = 25.6366 Å
α = 90.00°, β = 90.00°, γ = 120.00°
With the nearest neighbours (Å) after each atom.
Space group R-3m (No. 166, hexagonal axes)
One atom of each set of equivalent atoms:
La: 0.0000 0.0000 0.0000 [3 per cell]  6 Tl 3.31, 2 Mg 3.57
Mg: 0.0000 0.0000 0.1391 [6 per cell]  3 Ag 2.87, 3 Mg 3.10, 1 Tl 3.16
Tl: 0.0000 0.0000 0.2623 [6 per cell]  3 Ag 2.93, 4 Mg 3.16-3.27
Ag: 0.0000 0.0000 0.4425 [6 per cell]  3 Mg 2.87, 3 Tl 2.93, 1 Ag 2.95

Output
calculated density	7.96	Mg/m³
formation enthalpy at 0 K	-0.205	eV per atom

=====

(7)
Material: LiPa2RuO8
Method: DFT, PBE
State: relaxed

a = 5.4069 Å, b = 5.4069 Å, c = 6.6457 Å
α = 90.00°, β = 90.00°, γ = 120.00°
With the nearest neighbours (Å) after each atom.
Space group P-3m1 (No. 164)
One atom of each set of equivalent atoms:
Li: 0.0000 0.0000 0.0000 [1 per cell]  6 O 2.82
Pa: 0.3333 0.6667 0.3626 [2 per cell]  1 O 1.85
Ru: 0.0000 0.0000 0.5000 [1 per cell]  6 O 1.94
O: 0.1752 0.3503 0.6556 [6 per cell]  1 Ru 1.94
O: 0.3333 0.6667 0.0844 [2 per cell]  1 Pa 1.85

Output
E_form (uncorrected)	-2.143	eV/atom
calculated density	6.89	Mg/m³

=====

(8)
Material: LiVCl5
Method: DFT, PBE
State: relaxed

a = 13.3517 Å, b = 6.4682 Å, c = 9.0644 Å
α = 90.00°, β = 108.79°, γ = 90.00°
With the nearest neighbours (Å) after each atom.
Space group C2/c (No. 15)
One atom of each set of equivalent atoms:
Li: 0.0000 0.0284 0.2500 [4 per cell]  3 Cl 2.33-2.45
V: 0.0000 0.5000 0.0000 [4 per cell]  6 Cl 2.21-2.47
Cl: 0.0000 0.3498 0.7500 [4 per cell]  1 Li 2.45, 2 V 2.47
Cl: 0.0964 0.2047 0.4748 [8 per cell]  1 Li 2.33, 1 V 2.36
Cl: 0.1507 0.3399 0.1175 [8 per cell]  1 V 2.21

Output
E_form (uncorrected)	-1.237	eV/atom
calculated density	2.11	Mg/m³

=====

(9)
Material: BeW2Cl
Method: DFT, PBE
State: relaxed

a = 3.1384 Å, b = 4.7741 Å, c = 9.2895 Å
α = 90.00°, β = 90.00°, γ = 90.00°
With the nearest neighbours (Å) after each atom.
Space group Cmm2 (No. 35)
One atom of each set of equivalent atoms:
Be: 0.0000 0.0000 0.0000 [2 per cell]  2 Cl 2.06
W: 0.0000 0.0000 0.4363 [2 per cell]  6 W 2.60-2.86
W: 0.0000 0.5000 0.2137 [2 per cell]  2 Be 2.53, 2 W 2.60
Cl: 0.0000 0.5000 0.8565 [2 per cell]  2 Be 2.06

Output
E_form (uncorrected)	0.313	eV/atom
calculated density	9.83	Mg/m³

=====

(10)
Material: Ce2HoEr
Method: DFT, PBE
State: relaxed

a = 3.4699 Å, b = 3.4699 Å, c = 34.3803 Å
α = 90.00°, β = 90.00°, γ = 120.00°
With the nearest neighbours (Å) after each atom.
Space group R3m (No. 160, hexagonal axes)
One atom of each set of equivalent atoms:
Ce: 0.0000 0.0000 0.0000 [3 per cell]  6 Ce 3.47, 3 Er 3.51, 3 Ho 3.56
Ce: 0.0000 0.0000 0.1655 [3 per cell]  3 Er 3.45, 3 Ho 3.47, 6 Ce 3.47
Ho: 0.0000 0.0000 0.5812 [3 per cell]  6 Ce 3.47-3.56, 6 Ho 3.47
Er: 0.0000 0.0000 0.7505 [3 per cell]  6 Ce 3.45-3.51, 6 Er 3.47

Output
calculated density	8.51	Mg/m³
formation enthalpy at 0 K	0.089	eV per atom

=====

(11)
Material: ErBe2SiRh4
Method: DFT, PBE
State: relaxed

a = 4.1717 Å, b = 4.1717 Å, c = 21.7817 Å
α = 90.00°, β = 90.00°, γ = 120.00°
With the nearest neighbours (Å) after each atom.
Space group R-3m (No. 166, hexagonal axes)
One atom of each set of equivalent atoms:
Er: 0.0000 0.0000 0.0000 [3 per cell]  8 Rh 2.72-2.87
Be: 0.0000 0.0000 0.2441 [6 per cell]  7 Rh 2.45-2.58
Si: 0.0000 0.0000 0.5000 [3 per cell]  8 Rh 2.36-2.53
Rh: 0.0000 0.0000 0.1317 [6 per cell]  4 Be 2.45-2.58, 3 Si 2.53
Rh: 0.0000 0.0000 0.3916 [6 per cell]  1 Si 2.36, 3 Be 2.50

Output
E_form (uncorrected)	-0.720	eV/atom
calculated density	9.48	Mg/m³

=====

(12)
Material: Al4CuHg
Method: DFT, PBE
State: relaxed

a = 7.5984 Å, b = 7.5984 Å, c = 7.5984 Å
α = 90.00°, β = 90.00°, γ = 90.00°
With the nearest neighbours (Å) after each atom.
Space group F-43m (No. 216)
One atom of each set of equivalent atoms:
Al: 0.1243 0.1243 0.1243 [16 per cell]  6 Al 2.67-2.70
Cu: 0.2500 0.2500 0.7500 [4 per cell]  12 Al 3.15, 4 Hg 3.29
Hg: 0.0000 0.0000 0.5000 [4 per cell]  12 Al 3.15, 4 Cu 3.29

Output
calculated density	5.63	Mg/m³
formation enthalpy at 0 K	0.306	eV per atom